A geometry-optimized SrZn2Cd2Au structure. Source: the Alexandria database, functional PBE.

## Properties
density of states at the Fermi level	2.46	states/eV/f.u.
energy of formation from the pure elements	-0.14	eV per atom
crystal system	tetragonal
space group	I4/mmm, No. 139
electronic total energy	-10.18	eV per formula unit

```
SrZn2Cd2Au
1.0
-1.688 3.950 1.316
-3.880 -2.007 1.049
5.536 -2.325 6.408
Cd Zn Au Sr
2 2 1 1
Cartesian
0.532 1.299 4.453
-0.564 -1.680 4.320
-0.866 0.028 6.473
0.834 -0.410 2.300
0.000 0.000 0.000
-2.784 0.972 1.182
```

=====

A geometry-optimized CaVH2 structure. Source: the Alexandria database, functional PBE.

## Properties
density of states at the Fermi level	2.85	states/eV/f.u.
offset from the most stable computed form	0	meV/atom
crystal system	tetragonal
space group	I-42d, No. 122
electronic total energy	-17.75	eV per formula unit

```
CaVH2
1.0
5.140 0.000 0.000
0.000 5.140 0.000
2.570 2.570 3.611
V H Ca
2 4 2
Cartesian
5.140 2.570 1.805
0.000 0.000 0.000
4.274 1.285 0.903
0.866 3.855 0.903
3.855 3.436 2.708
6.425 6.844 2.708
2.570 5.140 1.805
2.570 2.570 0.000
```

=====

A geometry-optimized Rb3GaW structure. Source: the Alexandria database, functional PBE.

## Properties
density of states at the Fermi level	4.58	states/eV/f.u.
offset from the most stable computed form	0	meV/atom
energy of formation from the pure elements	1.54	eV per atom
crystal system	cubic
space group	Pm-3m, No. 221
electronic total energy	-11.19	eV per formula unit

```
Rb3GaW
1.0
-5.550 -3.688 0.311
3.276 -5.157 -2.678
1.721 -2.076 6.101
Rb W Ga
3 1 1
Cartesian
1.638 -2.578 -1.339
-2.775 -1.844 0.155
0.860 -1.038 3.051
-0.276 -5.460 1.867
0.000 0.000 0.000
```

=====

A geometry-optimized NpBiPb2 structure. Source: the Alexandria database, functional PBE.

## Properties
density of states at the Fermi level	10.70	states/eV/f.u.
offset from the most stable computed form	170	meV/atom
energy of formation from the pure elements	0.23	eV per atom
crystal system	tetragonal
space group	P4/mmm, No. 123
electronic total energy	-23.31	eV per formula unit

```
NpBiPb2
1.0
4.227 0.000 0.000
0.000 4.227 0.000
0.000 0.000 6.604
Np Bi Pb
1 1 2
Cartesian
2.114 2.114 3.302
2.114 2.114 0.000
0.000 0.000 1.671
0.000 0.000 4.933
```

=====

A geometry-optimized Pm4Y6Th structure. Source: the Alexandria database, functional PBE.

## Properties
density of states at the Fermi level	19.73	states/eV/f.u.
energy of formation from the pure elements	0.13	eV per atom
crystal system	orthorhombic
space group	Cmcm, No. 63
electronic total energy	-63.78	eV per formula unit

```
Pm4Y6Th
1.0
-3.021 -3.875 -3.076
1.483 -1.077 5.362
-22.184 10.715 8.286
Y Th Pm
12 2 8
Cartesian
-4.078 1.108 2.609
-10.341 0.437 4.143
-16.692 3.230 6.861
-18.149 5.959 4.855
-3.806 -2.719 1.701
-12.602 3.420 2.605
-1.510 -1.937 -1.538
-13.380 5.326 6.430
-19.644 4.656 7.964
-19.916 8.483 8.871
-7.030 2.534 3.711
-5.572 -0.195 5.718
-16.648 6.903 7.652
-7.073 -1.139 2.920
-8.397 1.204 6.729
-10.145 3.945 4.993
-0.964 -0.489 1.564
-13.577 1.819 5.580
-20.975 7.289 5.954
-2.746 -1.525 4.618
-15.324 4.559 3.843
-22.757 6.253 9.009
```

=====

A geometry-optimized TmAl3NiAu structure. Source: the Alexandria database, functional PBE.

## Properties
density of states at the Fermi level	1.69	states/eV/f.u.
energy of formation from the pure elements	-0.45	eV per atom
crystal system	orthorhombic
space group	Cmcm, No. 63
electronic total energy	-27.47	eV per formula unit

```
TmAl3NiAu
1.0
5.733 0.000 0.000
0.000 6.095 0.000
0.000 -3.047 6.141
Al Ni Au Tm
6 2 2 2
Cartesian
0.000 1.734 0.000
2.867 4.361 0.000
4.300 3.047 4.499
0.000 4.361 0.000
1.433 0.000 1.642
2.867 1.734 0.000
1.433 3.047 5.297
4.300 0.000 0.844
4.300 3.047 1.926
1.433 0.000 4.216
1.433 3.047 2.723
4.300 0.000 3.418
```

=====

A geometry-optimized InNi4Ru structure. Source: the Alexandria database, functional PBE.

## Properties
density of states at the Fermi level	8.32	states/eV/f.u.
energy of formation from the pure elements	0.09	eV per atom
crystal system	cubic
space group	F-43m, No. 216
electronic total energy	-34.59	eV per formula unit

```
InNi4Ru
1.0
0.187 -0.702 4.736
-0.803 3.651 2.996
-4.022 0.125 2.600
Ru Ni In
1 4 1
Cartesian
-1.160 0.769 2.583
-2.497 0.101 4.960
-2.990 2.270 4.094
-2.897 1.920 6.453
-0.893 1.858 5.157
0.000 0.000 0.000
```

=====

A geometry-optimized LaCoPd3 structure. Source: the Alexandria database, functional PBE.

## Properties
density of states at the Fermi level	4.08	states/eV/f.u.
offset from the most stable computed form	0	meV/atom
energy of formation from the pure elements	-0.10	eV per atom
crystal system	cubic
space group	Pm-3m, No. 221
electronic total energy	-28.09	eV per formula unit

```
LaCoPd3
1.0
4.687 0.000 0.000
0.000 4.687 0.000
0.000 0.000 4.687
Pd Co La
3 1 1
Cartesian
0.000 0.000 2.344
2.344 0.000 0.000
0.000 2.344 0.000
0.000 0.000 0.000
2.344 2.344 2.344
```

=====

A geometry-optimized Tl5In6Bi2 structure. Source: the Alexandria database, functional PBE.

## Properties
density of states at the Fermi level	6.14	states/eV/f.u.
energy of formation from the pure elements	0.02	eV per atom
crystal system	triclinic
space group	P-1, No. 2
electronic total energy	-35.78	eV per formula unit

```
Tl5In6Bi2
1.0
7.807 -0.344 3.662
2.711 7.397 4.173
2.931 3.306 9.346
Tl Bi In
5 2 6
Cartesian
5.610 5.483 9.954
7.839 4.876 7.226
0.000 0.000 0.000
9.921 6.301 13.347
3.528 4.058 3.834
5.056 8.930 10.249
8.393 1.428 6.931
8.315 7.337 10.312
9.338 9.641 13.830
5.134 3.021 6.868
9.206 4.277 10.255
4.243 6.082 6.926
4.111 0.718 3.351
```

=====

A geometry-optimized Er2ScPt2 structure. Source: the Alexandria database, functional PBE.

## Properties
density of states at the Fermi level	3.40	states/eV/f.u.
energy of formation from the pure elements	-1.10	eV per atom
crystal system	tetragonal
space group	P4/mbm, No. 127
electronic total energy	-33.03	eV per formula unit

```
Er2ScPt2
1.0
4.004 0.000 0.000
0.000 7.443 0.000
0.000 0.000 7.443
Pt Er Sc
4 4 2
Cartesian
0.000 6.397 4.768
0.000 1.047 2.675
0.000 2.675 6.397
0.000 4.768 1.047
2.002 4.947 6.218
2.002 2.497 1.225
2.002 6.218 2.497
2.002 1.225 4.947
0.000 3.722 3.722
0.000 0.000 0.000
```

=====

A geometry-optimized TiNbRe2 structure. Source: the Alexandria database, functional PBE.

## Properties
density of states at the Fermi level	2.26	states/eV/f.u.
offset from the most stable computed form	0	meV/atom
energy of formation from the pure elements	-0.38	eV per atom
crystal system	cubic
space group	Fm-3m, No. 225
electronic total energy	-44.37	eV per formula unit

```
TiNbRe2
1.0
0.000 3.164 3.164
3.164 0.000 3.164
3.164 3.164 0.000
Re Nb Ti
2 1 1
Cartesian
4.746 4.746 4.746
1.582 1.582 1.582
3.164 3.164 3.164
0.000 0.000 0.000
```

=====

A geometry-optimized V2MoOs2 structure. Source: the Alexandria database, functional PBE.

## Properties
density of states at the Fermi level	6.18	states/eV/f.u.
offset from the most stable computed form	65	meV/atom
energy of formation from the pure elements	0.07	eV per atom
crystal system	tetragonal
space group	P4/mbm, No. 127
electronic total energy	-51.16	eV per formula unit

```
V2MoOs2
1.0
-1.606 -2.247 -6.700
7.006 -1.406 -1.208
-0.360 -2.625 0.967
Os Mo V
4 2 4
Cartesian
2.319 -0.819 -1.359
-0.060 -1.626 -4.438
3.082 -2.834 -6.548
5.461 -2.027 -3.470
0.000 0.000 0.000
2.700 -1.827 -3.954
4.196 -2.606 -1.398
4.632 -3.978 -4.962
0.409 -2.300 -1.979
0.845 -3.673 -5.543
```

=====

What is the density of states at the Fermi level in the sixth record? 1.69 states/eV/f.u.

=====

Copy entry 4 word for word.
A geometry-optimized NpBiPb2 structure. Source: the Alexandria database, functional PBE.

## Properties
density of states at the Fermi level	10.70	states/eV/f.u.
offset from the most stable computed form	170	meV/atom
energy of formation from the pure elements	0.23	eV per atom
crystal system	tetragonal
space group	P4/mmm, No. 123
electronic total energy	-23.31	eV per formula unit

```
NpBiPb2
1.0
4.227 0.000 0.000
0.000 4.227 0.000
0.000 0.000 6.604
Np Bi Pb
1 1 2
Cartesian
2.114 2.114 3.302
2.114 2.114 0.000
0.000 0.000 1.671
0.000 0.000 4.933
```

=====

Number 11 is which compound? TiNbRe2